DFT (PBE) results for a relaxed Th2CoAu crystal.

Output
raw total energy = -26.53 eV/f.u.
SG = P4/mmm

abc: 3.5134 3.5134 7.5256
angles: 90.00 90.00 90.00
Fractional positions:
Th  0.0000  0.0000  0.2226
Th  0.0000  0.0000  0.7774
Co  0.5000  0.5000  0.0000
Au  0.5000  0.5000  0.5000